A plane-wave DFT calculation with PBE was carried out for a geometry-optimized CsLiHg2 structure.

```
4
Lattice="3.925 0.000 0.000 0.000 3.925 0.000 0.000 0.000 8.334" Properties=species:S:1:pos:R:3 pbc="T T T"
Cs 0.000 0.000 0.000
Li 0.000 0.000 4.167
Hg 1.963 1.963 2.713
Hg 1.963 1.963 5.621
```

Calculated values
The value obtained for the electronic total energy is -1.0484 eV/atom. For the volume, the calculation gives 128.4 Å³/cell. Its symmetry is P4/mmm. The calculation puts the formation energy at -0.21 eV/atom.